Tl2Hg2PdCl8: relaxed, PBE. Values from VASP.

Computed properties:
VASP energy = -2.67 eV per atom
calculated volume = 387 Å³ per cell
total magnetization = 0.16 μB per formula unit
ρ = 5.1 Mg/m³
formation energy (no corrections) = -9.376 eV/f.u.

Geometry as Quantum ESPRESSO input:
```
&SYSTEM
  ibrav = 0, nat = 13, ntyp = 4
/
ATOMIC_SPECIES
Tl 204.38 Tl.upf
Hg 200.59 Hg.upf
Pd 106.42 Pd.upf
Cl 35.45 Cl.upf
CELL_PARAMETERS angstrom
5.775 -3.473 0.000
5.775 3.473 0.000
-3.195 0.000 9.649
ATOMIC_POSITIONS crystal
Tl 0.106 0.106 0.350
Tl 0.894 0.894 0.650
Hg 0.366 0.366 0.101
Hg 0.634 0.634 0.899
Pd 0.500 0.500 0.500
Cl 0.130 0.603 0.376
Cl 0.154 0.154 0.004
Cl 0.397 0.870 0.624
Cl 0.420 0.420 0.809
Cl 0.580 0.580 0.191
Cl 0.603 0.130 0.376
Cl 0.846 0.846 0.996
Cl 0.870 0.397 0.624
```

---

TlHgPd2Cl6: relaxed, PBE. Values from VASP.

Computed properties:
VASP energy = -2.95 eV per atom
calculated volume = 281 Å³ per cell
total magnetization = 0.00 μB per formula unit
ρ = 4.9 Mg/m³
formation energy (no corrections) = -5.323 eV/f.u.
N(E_F) = 4.46 states/eV/f.u.

Geometry as Quantum ESPRESSO input:
```
&SYSTEM
  ibrav = 0, nat = 10, ntyp = 4
/
ATOMIC_SPECIES
Tl 204.38 Tl.upf
Hg 200.59 Hg.upf
Pd 106.42 Pd.upf
Cl 35.45 Cl.upf
CELL_PARAMETERS angstrom
6.357 0.000 0.000
1.904 6.549 0.000
2.872 -0.644 6.746
ATOMIC_POSITIONS crystal
Tl 0.000 0.000 0.000
Hg 0.528 0.440 0.697
Pd 0.170 0.210 0.270
Pd 0.757 0.664 0.030
Cl 0.103 0.439 0.758
Cl 0.418 0.884 0.291
Cl 0.506 0.310 0.064
Cl 0.576 0.773 0.792
Cl 0.840 0.115 0.497
Cl 0.915 0.539 0.270
```

---

TlHgPdCl6: relaxed, PBE. Values from VASP.

Computed properties:
VASP energy = -2.69 eV per atom
calculated volume = 272 Å³ per cell
total magnetization = 1.02 μB per formula unit
ρ = 4.4 Mg/m³
formation energy (no corrections) = -5.273 eV/f.u.
N(E_F) = 0.24 states/eV/f.u.

Geometry as Quantum ESPRESSO input:
```
&SYSTEM
  ibrav = 0, nat = 9, ntyp = 4
/
ATOMIC_SPECIES
Tl 204.38 Tl.upf
Hg 200.59 Hg.upf
Pd 106.42 Pd.upf
Cl 35.45 Cl.upf
CELL_PARAMETERS angstrom
3.507 -5.655 0.000
3.507 5.655 0.000
-0.311 0.000 6.866
ATOMIC_POSITIONS crystal
Tl 0.000 0.000 0.000
Hg 0.317 0.683 0.500
Pd 0.663 0.337 0.500
Cl 0.381 0.030 0.722
Cl 0.381 0.355 0.298
Cl 0.645 0.619 0.702
Cl 0.652 0.037 0.300
Cl 0.963 0.348 0.700
Cl 0.970 0.619 0.278
```